The following is a DFT calculation (GGA-PBE) of an optimized crystal structure of CaGd2. Values from VASP.

## Properties
Energy above the lowest structure with this stoichiometry   0 kJ/mol of formula units
Energy relative to the elements   0.06 eV per atom
D(E_F)   4.6 states/eV per cell

The structure in Quantum ESPRESSO input format:
```
&SYSTEM
  ibrav = 0, nat = 3, ntyp = 2
/
ATOMIC_SPECIES
Ca 40.08 Ca.upf
Gd 157.25 Gd.upf
CELL_PARAMETERS angstrom
-1.8369 1.8369 7.8803
1.8369 -1.8369 7.8803
1.8369 1.8369 -7.8803
ATOMIC_POSITIONS crystal
Ca 0.0000 0.0000 0.0000
Gd 0.3224 0.3224 0.0000
Gd 0.6776 0.6776 0.0000
```


The following is a DFT calculation (GGA-PBE) of an optimized crystal structure of Ca2Gd. Values from VASP.

## Properties
Energy above the lowest structure with this stoichiometry   0 kJ/mol of formula units
Energy relative to the elements   0.08 eV per atom
D(E_F)   6.3 states/eV per cell

The structure in Quantum ESPRESSO input format:
```
&SYSTEM
  ibrav = 0, nat = 3, ntyp = 2
/
ATOMIC_SPECIES
Ca 40.08 Ca.upf
Gd 157.25 Gd.upf
CELL_PARAMETERS angstrom
-1.8820 1.8820 8.1363
1.8820 -1.8820 8.1363
1.8820 1.8820 -8.1363
ATOMIC_POSITIONS crystal
Ca 0.1607 0.1607 0.0000
Ca 0.8393 0.8393 0.0000
Gd 0.5000 0.5000 0.0000
```


The following is a DFT calculation (GGA-PBE) of an optimized crystal structure of CaGd. Values from VASP.

## Properties
Energy above the lowest structure with this stoichiometry   22 kJ/mol of formula units
Energy relative to the elements   0.16 eV per atom
D(E_F)   4.7 states/eV per cell

The structure in Quantum ESPRESSO input format:
```
&SYSTEM
  ibrav = 0, nat = 2, ntyp = 2
/
ATOMIC_SPECIES
Ca 40.08 Ca.upf
Gd 157.25 Gd.upf
CELL_PARAMETERS angstrom
4.1662 0.0000 0.0000
0.0000 4.1662 0.0000
0.0000 0.0000 4.1662
ATOMIC_POSITIONS crystal
Ca 0.0000 0.0000 0.0000
Gd 0.5000 0.5000 0.5000
```


The following is a DFT calculation (GGA-PBE) of an optimized crystal structure of CaGd. Values from VASP.

## Properties
Energy above the lowest structure with this stoichiometry   0 kJ/mol of formula units
Energy relative to the elements   0.05 eV per atom
D(E_F)   5.7 states/eV per cell

The structure in Quantum ESPRESSO input format:
```
&SYSTEM
  ibrav = 0, nat = 4, ntyp = 2
/
ATOMIC_SPECIES
Ca 40.08 Ca.upf
Gd 157.25 Gd.upf
CELL_PARAMETERS angstrom
3.7199 0.0000 0.0000
0.0000 3.7199 0.0000
0.0000 0.0000 10.6637
ATOMIC_POSITIONS crystal
Ca 0.2500 0.2500 0.1365
Ca 0.7500 0.7500 0.8635
Gd 0.2500 0.2500 0.6053
Gd 0.7500 0.7500 0.3947
```


The following is a DFT calculation (GGA-PBE) of an optimized crystal structure of Ca2Gd. Values from VASP.

## Properties
Energy above the lowest structure with this stoichiometry   58 kJ/mol of formula units
Energy relative to the elements   0.28 eV per atom
D(E_F)   19.3 states/eV per cell

The structure in Quantum ESPRESSO input format:
```
&SYSTEM
  ibrav = 0, nat = 6, ntyp = 2
/
ATOMIC_SPECIES
Ca 40.08 Ca.upf
Gd 157.25 Gd.upf
CELL_PARAMETERS angstrom
0.0000 4.9404 4.9404
4.9404 0.0000 4.9404
4.9404 4.9404 0.0000
ATOMIC_POSITIONS crystal
Ca 0.0000 0.0000 0.0000
Ca 0.0000 0.0000 0.5000
Ca 0.0000 0.5000 0.0000
Ca 0.5000 0.0000 0.0000
Gd 0.3750 0.3750 0.3750
Gd 0.6250 0.6250 0.6250
```


The following is a DFT calculation (GGA-PBE) of an optimized crystal structure of CaGdGe2. Values from VASP.

## Properties
Energy relative to the elements   -0.59 eV per atom
D(E_F)   2.5 states/eV per cell

The structure in Quantum ESPRESSO input format:
```
&SYSTEM
  ibrav = 0, nat = 4, ntyp = 3
/
ATOMIC_SPECIES
Ca 40.08 Ca.upf
Gd 157.25 Gd.upf
Ge 72.64 Ge.upf
CELL_PARAMETERS angstrom
3.3378 0.0000 0.0000
0.0000 3.3378 0.0000
0.0000 0.0000 8.3891
ATOMIC_POSITIONS crystal
Ca 0.0000 0.0000 0.0000
Gd 0.0000 0.0000 0.5000
Ge 0.5000 0.5000 0.2527
Ge 0.5000 0.5000 0.7473
```


The following is a DFT calculation (GGA-PBE) of an optimized crystal structure of CaGd2Ge. Values from VASP.

## Properties
Energy above the lowest structure with this stoichiometry   0 kJ/mol of formula units
Energy relative to the elements   -0.30 eV per atom
D(E_F)   5.3 states/eV per cell

The structure in Quantum ESPRESSO input format:
```
&SYSTEM
  ibrav = 0, nat = 4, ntyp = 3
/
ATOMIC_SPECIES
Ca 40.08 Ca.upf
Gd 157.25 Gd.upf
Ge 72.64 Ge.upf
CELL_PARAMETERS angstrom
3.7622 0.0000 0.0000
0.0000 3.7622 0.0000
0.0000 0.0000 8.7479
ATOMIC_POSITIONS crystal
Ca 0.0000 0.0000 0.0000
Gd 0.5000 0.5000 0.3240
Gd 0.5000 0.5000 0.6760
Ge 0.0000 0.0000 0.5000
```


The following is a DFT calculation (GGA-PBE) of an optimized crystal structure of CaGdGe. Values from VASP.

## Properties
Energy relative to the elements   -0.53 eV per atom
D(E_F)   4.1 states/eV per cell

The structure in Quantum ESPRESSO input format:
```
&SYSTEM
  ibrav = 0, nat = 3, ntyp = 3
/
ATOMIC_SPECIES
Ca 40.08 Ca.upf
Gd 157.25 Gd.upf
Ge 72.64 Ge.upf
CELL_PARAMETERS angstrom
0.0000 3.5335 3.5335
3.5335 0.0000 3.5335
3.5335 3.5335 0.0000
ATOMIC_POSITIONS crystal
Ca 0.0000 0.0000 0.0000
Gd 0.5000 0.5000 0.5000
Ge 0.7500 0.7500 0.7500
```


The following is a DFT calculation (GGA-PBE) of an optimized crystal structure of CaGd2Ge. Values from VASP.

## Properties
Energy above the lowest structure with this stoichiometry   7 kJ/mol of formula units
Energy relative to the elements   -0.28 eV per atom
D(E_F)   5.2 states/eV per cell

The structure in Quantum ESPRESSO input format:
```
&SYSTEM
  ibrav = 0, nat = 4, ntyp = 3
/
ATOMIC_SPECIES
Ca 40.08 Ca.upf
Gd 157.25 Gd.upf
Ge 72.64 Ge.upf
CELL_PARAMETERS angstrom
4.7778 0.0000 0.0000
0.0000 4.7778 0.0000
0.0000 0.0000 4.7110
ATOMIC_POSITIONS crystal
Ca 0.0000 0.0000 0.0000
Gd 0.0000 0.5000 0.5000
Gd 0.5000 0.0000 0.5000
Ge 0.5000 0.5000 0.0000
```


The following is a DFT calculation (GGA-PBE) of an optimized crystal structure of CaGdGe2. Values from VASP.

## Properties
Energy relative to the elements   -0.58 eV per atom
D(E_F)   2.3 states/eV per cell

The structure in Quantum ESPRESSO input format:
```
&SYSTEM
  ibrav = 0, nat = 4, ntyp = 3
/
ATOMIC_SPECIES
Ca 40.08 Ca.upf
Gd 157.25 Gd.upf
Ge 72.64 Ge.upf
CELL_PARAMETERS angstrom
4.7897 0.0000 0.0000
0.0000 4.7897 0.0000
0.0000 0.0000 4.0820
ATOMIC_POSITIONS crystal
Ca 0.0000 0.0000 0.0000
Gd 0.5000 0.5000 0.0000
Ge 0.0000 0.5000 0.5000
Ge 0.5000 0.0000 0.5000
```


The following is a DFT calculation (GGA-PBE) of an optimized crystal structure of CaGd2Ge. Values from VASP.

## Properties
Energy above the lowest structure with this stoichiometry   48 kJ/mol of formula units
Energy relative to the elements   -0.18 eV per atom
D(E_F)   4.5 states/eV per cell

The structure in Quantum ESPRESSO input format:
```
&SYSTEM
  ibrav = 0, nat = 4, ntyp = 3
/
ATOMIC_SPECIES
Ca 40.08 Ca.upf
Gd 157.25 Gd.upf
Ge 72.64 Ge.upf
CELL_PARAMETERS angstrom
1.9818 1.1442 10.6078
-1.9818 1.1442 10.6078
0.0000 -2.2884 10.6078
ATOMIC_POSITIONS crystal
Ca 0.0000 0.0000 0.0000
Gd 0.1136 0.1136 0.1136
Gd 0.8864 0.8864 0.8864
Ge 0.5000 0.5000 0.5000
```


The following is a DFT calculation (GGA-PBE) of an optimized crystal structure of CaGdHgGe. Values from VASP.

## Properties
Energy relative to the elements   -0.57 eV per atom
D(E_F)   4.1 states/eV per cell

The structure in Quantum ESPRESSO input format:
```
&SYSTEM
  ibrav = 0, nat = 4, ntyp = 4
/
ATOMIC_SPECIES
Ca 40.08 Ca.upf
Gd 157.25 Gd.upf
Hg 200.59 Hg.upf
Ge 72.64 Ge.upf
CELL_PARAMETERS angstrom
0.0000 3.6989 3.6989
3.6989 0.0000 3.6989
3.6989 3.6989 0.0000
ATOMIC_POSITIONS crystal
Ca 0.0000 0.0000 0.0000
Gd 0.5000 0.5000 0.5000
Hg 0.2500 0.2500 0.2500
Ge 0.7500 0.7500 0.7500
```